This record from the Alexandria database describes crystalline La3SmTlCo at its relaxed geometry. The functional is PBE.

a = 17.244 Å, b = 7.183 Å, c = 6.153 Å
α = 90.00°, β = 110.39°, γ = 90.00°
Space group C2/m (No. 12)
Asymmetric unit:
La 0.117 0.244 0.115 [8 per cell]
La 0.194 0.500 0.704 [4 per cell]
Sm 0.000 0.242 0.500 [4 per cell]
Tl 0.191 0.000 0.693 [4 per cell]
Co 0.030 0.500 0.842 [4 per cell]

Calculated values
* energy of formation from the pure elements: -216 meV per atom
* spin magnetization: 0.00 Bohr magnetons per cell
* calculated volume: 714.4 Å³/cell